# DyTm3Th2As6, relaxed, DFT PBE
data_DyTm3Th2As6
_chemical_formula_sum 'Dy2 Tm6 Th4 As12'
_cell_length_a 18.0215
_cell_length_b 4.1502
_cell_length_c 8.2596
_cell_angle_alpha 90.00
_cell_angle_beta 103.03
_cell_angle_gamma 90.00
_symmetry_space_group_name_H-M 'C 1 2/m 1'
_symmetry_Int_Tables_number 12
loop_
_symmetry_equiv_pos_as_xyz
'x,y,z'
'-x,-y,-z'
'-x,y,-z'
'x,-y,z'
'x+1/2,y+1/2,z'
'-x+1/2,-y+1/2,-z'
'-x+1/2,y+1/2,-z'
'x+1/2,-y+1/2,z'
loop_
_atom_site_label
_atom_site_type_symbol
_atom_site_fract_x
_atom_site_fract_y
_atom_site_fract_z
Dy1 Dy 0.0000 0.0000 0.0000
Tm1 Tm 0.0000 0.0000 0.5000
Tm2 Tm 0.1662 0.5000 0.8339
Th1 Th 0.1649 0.5000 0.3301
As1 As 0.0029 0.5000 0.7490
As2 As 0.1643 0.0000 0.5896
As3 As 0.1672 0.0000 0.0749
# - Crystal system: monoclinic
# - Uncorrected energy: -156.9 eV/cell
# - Mass density: 8.734 g cm⁻³

# PmDyCCl, relaxed, DFT PBE
data_PmDyCCl
_chemical_formula_sum 'Pm3 Dy3 C3 Cl3'
_cell_length_a 3.6765
_cell_length_b 3.6765
_cell_length_c 21.0890
_cell_angle_alpha 90.00
_cell_angle_beta 90.00
_cell_angle_gamma 120.00
_symmetry_space_group_name_H-M 'R 3 m'
_symmetry_Int_Tables_number 160
_symmetry_space_group_name_Hall 'R 3 -2"'
loop_
_atom_site_label
_atom_site_type_symbol
_atom_site_fract_x
_atom_site_fract_y
_atom_site_fract_z
Pm1 Pm 0.0000 0.0000 0.0000
Dy1 Dy 0.0000 0.0000 0.7926
C1 C 0.0000 0.0000 0.4012
Cl1 Cl 0.0000 0.0000 0.2248
# - Crystal system: trigonal
# - Mass density: 7.163 g cm⁻³
# - Formation energy without anion corrections: -4.3 eV/f.u.

# LaNbTl2V, relaxed, DFT PBE
data_LaNbTl2V
_chemical_formula_sum 'La1 Nb1 Tl2 V1'
_cell_length_a 5.2262
_cell_length_b 5.2262
_cell_length_c 4.9615
_cell_angle_alpha 90.00
_cell_angle_beta 90.00
_cell_angle_gamma 90.00
_symmetry_space_group_name_H-M 'P 4/m m m'
_symmetry_Int_Tables_number 123
_symmetry_space_group_name_Hall '-P 4 2'
loop_
_atom_site_label
_atom_site_type_symbol
_atom_site_fract_x
_atom_site_fract_y
_atom_site_fract_z
La1 La 0.0000 0.0000 0.0000
Nb1 Nb 0.5000 0.5000 0.0000
Tl1 Tl 0.0000 0.5000 0.5000
V1 V 0.0000 0.0000 0.5000
# - Crystal system: tetragonal
# - Uncorrected energy: -23.4 eV/cell
# - Mass density: 8.474 g cm⁻³

# RbPdBr, relaxed, DFT PBE
data_RbPdBr
_chemical_formula_sum 'Rb2 Pd2 Br2'
_cell_length_a 5.4510
_cell_length_b 5.4510
_cell_length_c 6.3604
_cell_angle_alpha 90.00
_cell_angle_beta 90.00
_cell_angle_gamma 90.00
_symmetry_space_group_name_H-M 'P 4/n m m'
_symmetry_Int_Tables_number 129
loop_
_symmetry_equiv_pos_as_xyz
'x,y,z'
'-x,-y,-z'
'-y+1/2,x,z'
'y+1/2,-x,-z'
'-x+1/2,-y+1/2,z'
'x+1/2,y+1/2,-z'
'y,-x+1/2,z'
'-y,x+1/2,-z'
'x+1/2,-y,-z'
'-x+1/2,y,z'
'-y,-x,-z'
'y,x,z'
'-x,y+1/2,-z'
'x,-y+1/2,z'
'y+1/2,x+1/2,-z'
'-y+1/2,-x+1/2,z'
loop_
_atom_site_label
_atom_site_type_symbol
_atom_site_fract_x
_atom_site_fract_y
_atom_site_fract_z
Rb1 Rb 0.2500 0.2500 0.1439
Pd1 Pd 0.2500 0.2500 0.6290
Br1 Br 0.2500 0.7500 0.5000
# - Crystal system: tetragonal
# - Mass density: 4.776 g cm⁻³
# - Formation energy without anion corrections: -1.0 eV/f.u.

What did the first record say?
# DyTm3Th2As6, relaxed, DFT PBE
data_DyTm3Th2As6
_chemical_formula_sum 'Dy2 Tm6 Th4 As12'
_cell_length_a 18.0215
_cell_length_b 4.1502
_cell_length_c 8.2596
_cell_angle_alpha 90.00
_cell_angle_beta 103.03
_cell_angle_gamma 90.00
_symmetry_space_group_name_H-M 'C 1 2/m 1'
_symmetry_Int_Tables_number 12
loop_
_symmetry_equiv_pos_as_xyz
'x,y,z'
'-x,-y,-z'
'-x,y,-z'
'x,-y,z'
'x+1/2,y+1/2,z'
'-x+1/2,-y+1/2,-z'
'-x+1/2,y+1/2,-z'
'x+1/2,-y+1/2,z'
loop_
_atom_site_label
_atom_site_type_symbol
_atom_site_fract_x
_atom_site_fract_y
_atom_site_fract_z
Dy1 Dy 0.0000 0.0000 0.0000
Tm1 Tm 0.0000 0.0000 0.5000
Tm2 Tm 0.1662 0.5000 0.8339
Th1 Th 0.1649 0.5000 0.3301
As1 As 0.0029 0.5000 0.7490
As2 As 0.1643 0.0000 0.5896
As3 As 0.1672 0.0000 0.0749
# - Crystal system: monoclinic
# - Uncorrected energy: -156.9 eV/cell
# - Mass density: 8.734 g cm⁻³